# 1
The following is a DFT calculation (PBE) of an optimized crystal structure of U2PS.

The structure belongs to space group R3m (No. 160, hexagonal axes); the cell edges are 3.7505, 3.7505 and 21.2670 Å and the angles 90.00°, 90.00° and 120.00°. Symmetry generates all atoms from U at (0.0000, 0.0000, 0.0000), U at (0.0000, 0.0000, 0.1743), P at (0.0000, 0.0000, 0.5863) and S at (0.0000, 0.0000, 0.7553).

The value obtained for the calculated total energy is -0.6667 Ry/atom. Its energy relative to the lowest polymorph listed for this composition is 145.6 meV per atom. The value obtained for the density of states at the Fermi level is 7.24 states/eV/f.u. The calculated volume is 259.1 Å³ per cell. The calculation puts the uncorrected formation energy at -1.04 eV per atom.



# 2
The following is a DFT calculation (PBE) of an optimized crystal structure of YBeFeB2.

The structure belongs to space group P4/mmm (No. 123); the cell edges are 4.454, 4.454 and 4.777 Å and the angles 90.00°, 90.00° and 90.00°. Symmetry generates all atoms from Y at (0.000, 0.000, 0.000), Be at (0.000, 0.000, 0.500), Fe at (0.500, 0.500, 0.500) and B at (0.000, 0.500, 0.000).

The value obtained for the calculated total energy is -0.2947 Ry/atom. The value obtained for the density of states at the Fermi level is 2.87 states/eV/f.u. The calculated volume is 94.8 Å³ per cell.



# 3
The following is a DFT calculation (PBE) of an optimized crystal structure of InPS.

The structure belongs to space group P1 (No. 1); the cell edges are 4.341, 5.832 and 6.774 Å and the angles 66.48°, 89.36° and 72.19°. Symmetry generates all atoms from In at (0.000, 0.000, 0.000), In at (0.332, 0.612, 0.408), P at (0.925, 0.014, 0.512), P at (0.925, 0.348, 0.602), S at (0.581, 0.207, 0.231) and S at (0.724, 0.806, 0.785).

The value obtained for the calculated total energy is -0.3136 Ry/atom. The calculated volume is 148.5 Å³ per cell. The calculation puts the uncorrected formation energy at -0.17 eV per atom.